A geometry-optimized AgTe4W structure. Source: the Alexandria database, functional PBE.

Structure (extended XYZ):
```
6
Lattice="0.000 4.411 4.411 4.411 0.000 4.411 4.411 4.411 0.000" Properties=species:S:1:pos:R:3 pbc="T T T"
Ag 0.000 0.000 0.000
Te 5.511 3.311 3.311
Te 3.311 5.511 3.311
Te 3.311 3.311 5.511
Te 5.511 5.511 5.511
W 2.205 2.205 2.205
```

Properties
Magnetization, μB per cell: 4.022
Energy relative to the elements, uncorrected, eV per atom: 1.3412
Crystal system: cubic



A geometry-optimized BaScBe2 structure. Source: the Alexandria database, functional PBE.

Structure (extended XYZ):
```
16
Lattice="6.927 0.000 0.000 0.000 6.927 0.000 0.000 0.000 6.927" Properties=species:S:1:pos:R:3 pbc="T T T"
Ba 0.000 0.000 0.000
Ba 0.000 3.463 3.463
Ba 3.463 0.000 3.463
Ba 3.463 3.463 0.000
Sc 1.732 1.732 1.732
Sc 1.732 5.195 5.195
Sc 5.195 1.732 5.195
Sc 5.195 5.195 1.732
Be 0.000 0.000 3.463
Be 0.000 3.463 0.000
Be 1.732 1.732 5.195
Be 1.732 5.195 1.732
Be 3.463 0.000 0.000
Be 3.463 3.463 3.463
Be 5.195 1.732 1.732
Be 5.195 5.195 5.195
```

Properties
Magnetization, μB per cell: 0.012
DFT formation energy, kJ/mol of atoms: 79
Crystal system: cubic
ΔE to the lowest computed polymorph, meV per atom: 578



Q: Number 2 is which compound?
A: BaScBe2



Q: Which value of magnetization does entry 1 give?
A: 4.022 μB per cell



Q: What is the formula in the first record?
A: AgTe4W